EuS3, optimized geometry, DFT PBE-GGA; magnetization = 6.21 μB/cell; uncorrected formation energy = -0.629 eV per atom; calculated volume = 79.8 Å³ per cell
1.0
5.901 0.073 0.000
3.247 4.928 0.000
-4.574 -2.500 2.766
Eu S
1 3
direct
0.000 0.000 0.000 Eu
0.750 0.250 0.500 S
0.250 0.750 0.500 S
0.500 0.500 0.000 S